! CaNd2Sm, optimized geometry, DFT PBE; values from VASP
! Volume: 36.82 A^3/atom
! Formation enthalpy at 0 K: 0.13 eV per atom
! Space-group type: R-3m, No. 166
&SYSTEM
  ibrav = 0, nat = 4, ntyp = 3
/
ATOMIC_SPECIES
Ca 40.08 Ca.upf
Nd 144.24 Nd.upf
Sm 150.36 Sm.upf
ATOMIC_POSITIONS crystal
Ca 0.000 0.000 0.000
Nd 0.091 0.091 0.091
Nd 0.909 0.909 0.909
Sm 0.500 0.500 0.500
CELL_PARAMETERS angstrom
1.813 1.047 12.929
-1.813 1.047 12.929
0.000 -2.094 12.929

=====

! BePb2W, optimized geometry, DFT PBE; values from VASP
! Volume: 22.28 A^3/atom
! Formation enthalpy at 0 K: 0.60 eV per atom
! Space-group type: P4mm, No. 99
&SYSTEM
  ibrav = 0, nat = 4, ntyp = 3
/
ATOMIC_SPECIES
Be 9.01 Be.upf
Pb 207.20 Pb.upf
W 183.84 W.upf
ATOMIC_POSITIONS crystal
Be 0.000 0.000 0.000
Pb 0.000 0.000 0.641
Pb 0.500 0.500 0.230
W 0.500 0.500 0.888
CELL_PARAMETERS angstrom
3.143 0.000 0.000
0.000 3.143 0.000
0.000 0.000 9.020

=====

! LiGdSn, optimized geometry, DFT PBE; values from VASP
! Volume: 24.00 A^3/atom
! Formation enthalpy at 0 K: -0.35 eV per atom
! Space-group type: I4mm, No. 107
&SYSTEM
  ibrav = 0, nat = 3, ntyp = 3
/
ATOMIC_SPECIES
Li 6.94 Li.upf
Gd 157.25 Gd.upf
Sn 118.71 Sn.upf
ATOMIC_POSITIONS crystal
Li 0.000 0.000 0.000
Gd 0.307 0.307 0.000
Sn 0.617 0.617 0.000
CELL_PARAMETERS angstrom
-1.768 1.768 5.756
1.768 -1.768 5.756
1.768 1.768 -5.756